VASP calculation (PBE) on crystalline AsC3I at its relaxed geometry.

DOS(E_F) = 0.7974 states/eV/atom
Final energy = -19.98 eV/cell
Magnetization = 0.00 μB per formula unit

a b c (Å): 4.0393 4.0393 4.0393
angles (deg): 90.00 90.00 90.00
Positions (direct):
I  0.5000  0.5000  0.5000
As  0.0000  0.0000  0.0000
C  0.0000  0.5000  0.0000
C  0.0000  0.0000  0.5000
C  0.5000  0.0000  0.0000

VASP calculation (PBE) on crystalline La4AsCI2 at its relaxed geometry.

DOS(E_F) = 0.3803 states/eV/atom
Final energy = -45.12 eV/cell
Magnetization = 0.00 μB per formula unit

a b c (Å): 4.1545 7.3731 8.2600
angles (deg): 106.75 90.00 90.00
Positions (direct):
La  0.5000  0.2633  0.1878
La  0.5000  0.7367  0.8122
La  0.0000  0.3006  0.8205
La  0.0000  0.6994  0.1795
As  0.0000  0.0000  0.0000
C  0.5000  0.5000  0.0000
I  0.5000  0.0000  0.5000
I  0.0000  0.5000  0.5000

VASP calculation (PBE) on crystalline Mn2AsCI at its relaxed geometry.

DOS(E_F) = 1.0089 states/eV/atom
Final energy = -29.24 eV/cell
Magnetization = 6.69 μB per formula unit

a b c (Å): 3.9769 6.5740 3.9769
angles (deg): 90.00 90.00 90.00
Site moments in Bohr magnetons follow the coordinates.
Positions (direct):
I  0.0000  0.5000  0.0000  0.00
As  0.5000  0.5000  0.5000  0.07
Mn  0.0000  0.0000  0.5000  3.57
Mn  0.5000  0.0000  0.0000  3.03
C  0.0000  0.0000  0.0000  -0.32